Below is crystalline Sr2CaVO at its relaxed geometry, with properties calculated at the PBE with a Hubbard U level.

The structure in extended XYZ format:
```
5
Lattice="5.920 0.000 0.000 0.000 4.042 0.000 0.000 0.000 5.920" Properties=species:S:1:pos:R:3 pbc="T T T"
O 0.000 0.000 0.000
Ca 2.960 2.021 2.960
Sr 0.000 0.000 2.960
Sr 2.960 0.000 0.000
V 0.000 2.021 0.000
```

- ρ (Mg/m³) = 3.31
- energy (eV/atom) = -4.01
- Fermi-level density of states (states/eV/atom) = 0.905